[1]
A plane-wave DFT calculation with PBE-GGA was carried out for an optimized crystal structure of Sr2PRh.

```
data_Sr2PRh
_symmetry_space_group_name_H-M 'A m m 2'
_symmetry_Int_Tables_number 38
_symmetry_space_group_name_Hall 'A 2 -2'
_cell_length_a 4.412
_cell_length_b 4.658
_cell_length_c 10.253
_cell_angle_alpha 90.00
_cell_angle_beta 90.00
_cell_angle_gamma 90.00
loop_
_atom_site_label
_atom_site_fract_x
_atom_site_fract_y
_atom_site_fract_z
Sr1 0.000 0.000 0.000
Sr2 0.500 0.000 0.291
P1 0.000 0.000 0.690
Rh1 0.500 0.000 0.603
```

Summary:
VASP energy, eV per atom: -4.783
E_form, eV per formula unit: -3.01

[2]
A plane-wave DFT calculation with PBE-GGA was carried out for an optimized crystal structure of V3TcRu2.

```
data_V3TcRu2
_symmetry_space_group_name_H-M 'C m m m'
_symmetry_Int_Tables_number 65
_symmetry_space_group_name_Hall '-C 2 2'
_cell_length_a 4.264
_cell_length_b 12.806
_cell_length_c 6.023
_cell_angle_alpha 90.00
_cell_angle_beta 90.00
_cell_angle_gamma 90.00
loop_
_atom_site_label
_atom_site_fract_x
_atom_site_fract_y
_atom_site_fract_z
V1 0.000 0.000 0.246
V2 0.000 0.331 0.245
Tc1 0.000 0.165 0.000
Ru1 0.000 0.165 0.500
Ru2 0.000 0.500 0.000
Ru3 0.000 0.500 0.500
```

Summary:
VASP energy, eV per atom: -9.674
E_form, eV per formula unit: -1.77

[3]
A plane-wave DFT calculation with PBE-GGA was carried out for an optimized crystal structure of Pm2CuGeAu6.

```
data_Pm2CuGeAu6
_symmetry_space_group_name_H-M 'P -1'
_symmetry_Int_Tables_number 2
_symmetry_space_group_name_Hall '-P 1'
_cell_length_a 5.115
_cell_length_b 5.852
_cell_length_c 7.700
_cell_angle_alpha 97.28
_cell_angle_beta 106.49
_cell_angle_gamma 101.30
loop_
_atom_site_label
_atom_site_fract_x
_atom_site_fract_y
_atom_site_fract_z
Pm1 0.067 0.291 0.186
Cu1 0.500 0.000 0.500
Ge1 0.500 0.500 0.000
Au1 0.022 0.206 0.709
Au2 0.313 0.592 0.589
Au3 0.450 0.930 0.156
```

Summary:
VASP energy, eV per atom: -4.207
E_form, eV per formula unit: -4.19

[4]
A plane-wave DFT calculation with PBE-GGA was carried out for an optimized crystal structure of MgScTc2.

```
data_MgScTc2
_symmetry_space_group_name_H-M 'P m m m'
_symmetry_Int_Tables_number 47
_symmetry_space_group_name_Hall '-P 2 2'
_cell_length_a 2.683
_cell_length_b 4.372
_cell_length_c 5.728
_cell_angle_alpha 90.00
_cell_angle_beta 90.00
_cell_angle_gamma 90.00
loop_
_atom_site_label
_atom_site_fract_x
_atom_site_fract_y
_atom_site_fract_z
Mg1 0.000 0.000 0.000
Sc1 0.000 0.000 0.500
Tc1 0.500 0.500 0.228
```

Summary:
VASP energy, eV per atom: -6.992
E_form, eV per formula unit: 0.69

- Which value of E_form does entry 4 give?
  0.69 eV per formula unit